Record 1
A geometry-optimized Sm3Si4Rh2 structure. Source: the Alexandria database, functional GGA-PBE.

The space group is C2/m (No. 12) and the conventional cell measures 11.104, 4.144 and 8.174 Å, with angles of 90.00, 109.22 and 90.00 degrees. The asymmetric unit holds Sm at (0.000, 0.000, 0.000), Sm at (0.113, 0.500, 0.693), Si at (0.103, 0.000, 0.400), Si at (0.221, 0.500, 0.074) and Rh at (0.193, 0.500, 0.360).

The value obtained for the size of the total moment is 0.00 μB per formula unit. Its uncorrected formation energy is -915 meV per atom. The value obtained for the total energy is -6.532 eV per atom. As for the density: 7.19 g cm⁻³.

***

Record 2
A geometry-optimized IrAuF structure. Source: the Alexandria database, functional GGA-PBE.

The space group is Cm (No. 8) and the conventional cell measures 2.756, 4.773 and 6.934 Å, with angles of 90.00, 90.59 and 90.00 degrees. The asymmetric unit holds Ir at (0.000, 0.000, 0.000), Au at (0.495, 0.500, 0.623) and F at (0.009, 0.000, 0.286).

The energy above the lowest structure with this stoichiometry is 0.071 eV per atom. The value obtained for the size of the total moment is 0.34 μB per formula unit. Its uncorrected formation energy is -190 meV per atom. The value obtained for the total energy is -4.860 eV per atom. As for the density: 14.86 g cm⁻³.

***

Record 3
A geometry-optimized BaLi2YAu4 structure. Source: the Alexandria database, functional GGA-PBE.

The space group is R-3m (No. 166, hexagonal axes) and the conventional cell measures 4.6056, 4.6056 and 30.5716 Å, with angles of 90.00, 90.00 and 120.00 degrees. The asymmetric unit holds Ba at (0.0000, 0.0000, 0.0000), Li at (0.0000, 0.0000, 0.2402), Y at (0.0000, 0.0000, 0.5000), Au at (0.0000, 0.0000, 0.1164) and Au at (0.0000, 0.0000, 0.4031).

The value obtained for the size of the total moment is 0.00 μB per formula unit. The formation energy comes out at -667 meV per atom. The value obtained for the total energy is -3.832 eV per atom. As for the density: 9.12 g cm⁻³.

***

Record 4
A geometry-optimized TbTm5Sc structure. Source: the Alexandria database, functional GGA-PBE.

The space group is Imm2 (No. 44) and the conventional cell measures 7.780, 11.385 and 6.010 Å, with angles of 90.00, 90.00 and 90.00 degrees. The asymmetric unit holds Tb at (0.000, 0.000, 0.000), Tm at (0.000, 0.253, 0.723), Tm at (0.000, 0.500, 0.282), Tm at (0.184, 0.000, 0.489) and Sc at (0.000, 0.500, 0.746).

The energy above the lowest structure with this stoichiometry is 0.907 eV per atom. The value obtained for the size of the total moment is 0.00 μB per formula unit. The formation energy comes out at 972 meV per atom. The value obtained for the total energy is -3.788 eV per atom. As for the density: 6.54 g cm⁻³.

***

Record 5
A geometry-optimized ThMg3Sc2 structure. Source: the Alexandria database, functional GGA-PBE.

The space group is P4/mmm (No. 123) and the conventional cell measures 3.472, 3.472 and 12.385 Å, with angles of 90.00, 90.00 and 90.00 degrees. The asymmetric unit holds Th at (0.000, 0.000, 0.000), Mg at (0.500, 0.500, 0.191), Mg at (0.500, 0.500, 0.500) and Sc at (0.000, 0.000, 0.351).

The value obtained for the size of the total moment is 0.00 μB per formula unit. The formation energy comes out at -2 meV per atom. The value obtained for the total energy is -4.147 eV per atom. As for the density: 4.39 g cm⁻³.

***

Record 6
A geometry-optimized Sc3SeO structure. Source: the Alexandria database, functional GGA-PBE.

The space group is Pm-3m (No. 221) and the conventional cell measures 4.378, 4.378 and 4.378 Å, with angles of 90.00, 90.00 and 90.00 degrees. The asymmetric unit holds Sc at (0.000, 0.000, 0.500), Se at (0.500, 0.500, 0.500) and O at (0.000, 0.000, 0.000).

The energy above the lowest structure with this stoichiometry is 0.362 eV per atom. The value obtained for the size of the total moment is 0.00 μB per formula unit. Its uncorrected formation energy is -1364 meV per atom. The value obtained for the total energy is -6.851 eV per atom. As for the density: 4.55 g cm⁻³.

***

Record 7
A geometry-optimized Dy4HoTm6 structure. Source: the Alexandria database, functional GGA-PBE.

The space group is I-42m (No. 121) and the conventional cell measures 7.538, 7.538 and 12.922 Å, with angles of 90.00, 90.00 and 90.00 degrees. The asymmetric unit holds Dy at (0.169, 0.169, 0.423), Ho at (0.000, 0.000, 0.000), Tm at (0.000, 0.500, 0.000) and Tm at (0.243, 0.243, 0.183).

The energy above the lowest structure with this stoichiometry is 0.343 eV per atom. The value obtained for the size of the total moment is 0.00 μB per formula unit. The formation energy comes out at 471 meV per atom. The value obtained for the total energy is -4.057 eV per atom. As for the density: 8.27 g cm⁻³.

***

Record 8
A geometry-optimized Pr5Y4Er2 structure. Source: the Alexandria database, functional GGA-PBE.

The space group is Immm (No. 71) and the conventional cell measures 3.555, 9.226 and 23.784 Å, with angles of 90.00, 90.00 and 90.00 degrees. The asymmetric unit holds Pr at (0.000, 0.000, 0.000), Pr at (0.000, 0.299, 0.352), Y at (0.000, 0.187, 0.500), Y at (0.000, 0.500, 0.098) and Er at (0.000, 0.500, 0.231).

The energy above the lowest structure with this stoichiometry is 0.138 eV per atom. The value obtained for the size of the total moment is 0.00 μB per formula unit. The formation energy comes out at 211 meV per atom. The value obtained for the total energy is -5.141 eV per atom. As for the density: 5.94 g cm⁻³.

***

Record 9
A geometry-optimized KSiNi4 structure. Source: the Alexandria database, functional GGA-PBE.

The space group is F-43m (No. 216) and the conventional cell measures 6.965, 6.965 and 6.965 Å, with angles of 90.00, 90.00 and 90.00 degrees. The asymmetric unit holds K at (0.000, 0.000, 0.000), Si at (0.250, 0.250, 0.250) and Ni at (0.123, 0.123, 0.623).

The value obtained for the size of the total moment is 0.01 μB per formula unit. Its uncorrected formation energy is 436 meV per atom. The value obtained for the total energy is -4.505 eV per atom. As for the density: 5.94 g cm⁻³.

***

Record 10
A geometry-optimized KCa3Se structure. Source: the Alexandria database, functional GGA-PBE.

The space group is Pm-3m (No. 221) and the conventional cell measures 5.914, 5.914 and 5.914 Å, with angles of 90.00, 90.00 and 90.00 degrees. The asymmetric unit holds K at (0.000, 0.000, 0.000), Ca at (0.000, 0.500, 0.500) and Se at (0.500, 0.500, 0.500).

The energy above the lowest structure with this stoichiometry is 0.000 eV per atom. The value obtained for the size of the total moment is 0.00 μB per formula unit. Its uncorrected formation energy is -536 meV per atom. The value obtained for the total energy is -2.653 eV per atom. As for the density: 1.91 g cm⁻³.

***

Record 11
A geometry-optimized LaDy6Th2 structure. Source: the Alexandria database, functional GGA-PBE.

The space group is C2/c (No. 15) and the conventional cell measures 12.319, 14.736 and 6.755 Å, with angles of 90.00, 104.22 and 90.00 degrees. The asymmetric unit holds La at (0.000, 0.097, 0.250), Dy at (0.051, 0.311, 0.025), Dy at (0.150, 0.108, 0.818), Dy at (0.233, 0.317, 0.689) and Th at (0.134, 0.485, 0.363).

The energy above the lowest structure with this stoichiometry is 0.055 eV per atom. The value obtained for the size of the total moment is 0.00 μB per formula unit. The formation energy comes out at 136 meV per atom. The value obtained for the total energy is -5.129 eV per atom. As for the density: 8.82 g cm⁻³.

***

Record 12
A geometry-optimized PmNd6Er2Sc structure. Source: the Alexandria database, functional GGA-PBE.

The space group is C2/c (No. 15) and the conventional cell measures 9.364, 15.210 and 9.428 Å, with angles of 90.00, 96.01 and 90.00 degrees. The asymmetric unit holds Pm at (0.000, 0.029, 0.250), Nd at (0.058, 0.176, 0.947), Nd at (0.094, 0.387, 0.112), Nd at (0.228, 0.217, 0.307), Er at (0.245, 0.452, 0.449) and Sc at (0.000, 0.420, 0.750).

The value obtained for the size of the total moment is 0.00 μB per formula unit. The formation energy comes out at 126 meV per atom. The value obtained for the total energy is -4.755 eV per atom. As for the density: 6.91 g cm⁻³.